# 1
# GGA-PBE CuAg2F, optimized geometry
data_CuAg2F
_chemical_formula_sum 'Cu4 Ag8 F4'
_cell_length_a 6.189
_cell_length_b 6.189
_cell_length_c 6.189
_cell_angle_alpha 90.00
_cell_angle_beta 90.00
_cell_angle_gamma 90.00
_symmetry_space_group_name_H-M 'F m -3 m'
_symmetry_Int_Tables_number 225
_symmetry_space_group_name_Hall '-F 4 2 3'
loop_
_atom_site_label
_atom_site_fract_x
_atom_site_fract_y
_atom_site_fract_z
Cu1 0.000 0.000 0.000
Ag1 0.250 0.250 0.250
F1 0.000 0.000 0.500
# energy above the lowest structure with this stoichiometry	0	meV/atom
# uncorrected formation energy	-0.23	eV/atom

---

# 2
# GGA-PBE Te2Au, optimized geometry
data_Te2Au
_chemical_formula_sum 'Te4 Au2'
_cell_length_a 12.921
_cell_length_b 4.153
_cell_length_c 3.215
_cell_angle_alpha 90.00
_cell_angle_beta 90.10
_cell_angle_gamma 90.00
_symmetry_space_group_name_H-M 'C 1 2/m 1'
_symmetry_Int_Tables_number 12
_symmetry_space_group_name_Hall '-C 2y'
loop_
_atom_site_label
_atom_site_fract_x
_atom_site_fract_y
_atom_site_fract_z
Te1 0.141 0.000 0.000
Au1 0.000 0.500 0.000
# uncorrected formation energy	-0.08	eV/atom

---

# 3
# GGA-PBE BeAs3W, optimized geometry
data_BeAs3W
_chemical_formula_sum 'Be1 As3 W1'
_cell_length_a 4.894
_cell_length_b 4.894
_cell_length_c 4.894
_cell_angle_alpha 90.00
_cell_angle_beta 90.00
_cell_angle_gamma 90.00
_symmetry_space_group_name_H-M 'P m -3 m'
_symmetry_Int_Tables_number 221
_symmetry_space_group_name_Hall '-P 4 2 3'
loop_
_atom_site_label
_atom_site_fract_x
_atom_site_fract_y
_atom_site_fract_z
Be1 0.000 0.000 0.000
As1 0.000 0.500 0.500
W1 0.500 0.500 0.500
# energy above the lowest structure with this stoichiometry	0	meV/atom

---

# 4
# GGA-PBE SbPtF3, optimized geometry
data_SbPtF3
_chemical_formula_sum 'Sb1 Pt1 F3'
_cell_length_a 4.365
_cell_length_b 4.365
_cell_length_c 4.365
_cell_angle_alpha 90.00
_cell_angle_beta 90.00
_cell_angle_gamma 90.00
_symmetry_space_group_name_H-M 'P m -3 m'
_symmetry_Int_Tables_number 221
_symmetry_space_group_name_Hall '-P 4 2 3'
loop_
_atom_site_label
_atom_site_fract_x
_atom_site_fract_y
_atom_site_fract_z
Sb1 0.000 0.000 0.000
Pt1 0.500 0.500 0.500
F1 0.000 0.500 0.500
# energy above the lowest structure with this stoichiometry	314	meV/atom
# uncorrected formation energy	-0.50	eV/atom

---

# 5
# GGA-PBE AcPd5Au7, optimized geometry
data_AcPd5Au7
_chemical_formula_sum 'Ac2 Pd10 Au14'
_cell_length_a 5.587
_cell_length_b 9.393
_cell_length_c 9.326
_cell_angle_alpha 90.00
_cell_angle_beta 90.00
_cell_angle_gamma 90.00
_symmetry_space_group_name_H-M 'I m m 2'
_symmetry_Int_Tables_number 44
_symmetry_space_group_name_Hall 'I 2 -2'
loop_
_atom_site_label
_atom_site_fract_x
_atom_site_fract_y
_atom_site_fract_z
Ac1 0.000 0.000 0.000
Pd1 0.000 0.500 0.721
Pd2 0.250 0.249 0.245
Au1 0.000 0.000 0.340
Au2 0.000 0.000 0.653
Au3 0.000 0.287 0.497
Au4 0.000 0.346 0.993
Au5 0.000 0.500 0.272
# energy	-4.401	eV per atom

---

# 6
# GGA-PBE Tb2Pm7Er3, optimized geometry
data_Tb2Pm7Er3
_chemical_formula_sum 'Tb4 Pm14 Er6'
_cell_length_a 5.775
_cell_length_b 38.074
_cell_length_c 3.629
_cell_angle_alpha 90.00
_cell_angle_beta 90.00
_cell_angle_gamma 90.00
_symmetry_space_group_name_H-M 'C m m m'
_symmetry_Int_Tables_number 65
_symmetry_space_group_name_Hall '-C 2 2'
loop_
_atom_site_label
_atom_site_fract_x
_atom_site_fract_y
_atom_site_fract_z
Tb1 0.000 0.149 0.000
Pm1 0.000 0.000 0.000
Pm2 0.000 0.072 0.500
Pm3 0.000 0.232 0.000
Pm4 0.000 0.408 0.000
Er1 0.000 0.315 0.500
Er2 0.000 0.500 0.500
# energy above the lowest structure with this stoichiometry	0	meV/atom

---

# 7
# GGA-PBE CsCuWAu2, optimized geometry
data_CsCuWAu2
_chemical_formula_sum 'Cs1 Cu1 W1 Au2'
_cell_length_a 5.903
_cell_length_b 5.903
_cell_length_c 5.148
_cell_angle_alpha 90.00
_cell_angle_beta 90.00
_cell_angle_gamma 90.00
_symmetry_space_group_name_H-M 'P 4/m m m'
_symmetry_Int_Tables_number 123
_symmetry_space_group_name_Hall '-P 4 2'
loop_
_atom_site_label
_atom_site_fract_x
_atom_site_fract_y
_atom_site_fract_z
Cs1 0.000 0.000 0.000
Cu1 0.000 0.000 0.500
W1 0.500 0.500 0.500
Au1 0.000 0.500 0.000
# energy	-2.385	eV per atom

---

# 8
# GGA-PBE Rh3W2, optimized geometry
data_Rh3W2
_chemical_formula_sum 'Rh3 W2'
_cell_length_a 4.2345
_cell_length_b 4.2345
_cell_length_c 5.3884
_cell_angle_alpha 90.00
_cell_angle_beta 90.00
_cell_angle_gamma 120.00
_symmetry_space_group_name_H-M 'P -3 m 1'
_symmetry_Int_Tables_number 164
_symmetry_space_group_name_Hall '-P 3 2"'
loop_
_atom_site_label
_atom_site_fract_x
_atom_site_fract_y
_atom_site_fract_z
Rh1 0.0000 0.0000 0.0000
Rh2 0.3333 0.6667 0.3581
W1 0.3333 0.6667 0.8356
# energy above the lowest structure with this stoichiometry	404	meV/atom

---

# 9
# GGA-PBE HoThMgHg, optimized geometry
data_HoThMgHg
_chemical_formula_sum 'Ho4 Th4 Mg4 Hg4'
_cell_length_a 7.580
_cell_length_b 7.580
_cell_length_c 7.580
_cell_angle_alpha 90.00
_cell_angle_beta 90.00
_cell_angle_gamma 90.00
_symmetry_space_group_name_H-M 'F -4 3 m'
_symmetry_Int_Tables_number 216
_symmetry_space_group_name_Hall 'F -4 2 3'
loop_
_atom_site_label
_atom_site_fract_x
_atom_site_fract_y
_atom_site_fract_z
Ho1 0.000 0.000 0.000
Th1 0.000 0.000 0.500
Mg1 0.250 0.250 0.250
Hg1 0.250 0.250 0.750
# energy	-3.594	eV per atom

---

# 10
# GGA-PBE CuOsW2, optimized geometry
data_CuOsW2
_chemical_formula_sum 'Cu2 Os2 W4'
_cell_length_a 3.888
_cell_length_b 3.888
_cell_length_c 7.838
_cell_angle_alpha 90.00
_cell_angle_beta 90.00
_cell_angle_gamma 90.00
_symmetry_space_group_name_H-M 'I -4 m 2'
_symmetry_Int_Tables_number 119
_symmetry_space_group_name_Hall 'I -4 -2'
loop_
_atom_site_label
_atom_site_fract_x
_atom_site_fract_y
_atom_site_fract_z
Cu1 0.000 0.000 0.000
Os1 0.000 0.500 0.750
W1 0.000 0.000 0.500
W2 0.000 0.500 0.250
# energy above the lowest structure with this stoichiometry	113	meV/atom

---

# 11
# GGA-PBE PmPr5Sb4, optimized geometry
data_PmPr5Sb4
_chemical_formula_sum 'Pm2 Pr10 Sb8'
_cell_length_a 19.401
_cell_length_b 4.453
_cell_length_c 8.812
_cell_angle_alpha 90.00
_cell_angle_beta 105.18
_cell_angle_gamma 90.00
_symmetry_space_group_name_H-M 'C 1 2/m 1'
_symmetry_Int_Tables_number 12
_symmetry_space_group_name_Hall '-C 2y'
loop_
_atom_site_label
_atom_site_fract_x
_atom_site_fract_y
_atom_site_fract_z
Pm1 0.000 0.000 0.000
Pr1 0.000 0.000 0.500
Pr2 0.164 0.500 0.831
Pr3 0.173 0.500 0.346
Sb1 0.006 0.500 0.253
Sb2 0.169 0.000 0.090
# uncorrected formation energy	-0.81	eV/atom

---

# 12
# GGA-PBE FeNiH4, optimized geometry
data_FeNiH4
_chemical_formula_sum 'Fe1 Ni1 H4'
_cell_length_a 2.861
_cell_length_b 2.861
_cell_length_c 4.055
_cell_angle_alpha 90.00
_cell_angle_beta 90.00
_cell_angle_gamma 90.00
_symmetry_space_group_name_H-M 'P 4/m m m'
_symmetry_Int_Tables_number 123
_symmetry_space_group_name_Hall '-P 4 2'
loop_
_atom_site_label
_atom_site_fract_x
_atom_site_fract_y
_atom_site_fract_z
Fe1 0.000 0.000 0.000
Ni1 0.500 0.500 0.500
H1 0.000 0.500 0.242
# energy	-4.518	eV per atom

---

# 13
# GGA-PBE KMn, optimized geometry
data_KMn
_chemical_formula_sum 'K4 Mn4'
_cell_length_a 3.207
_cell_length_b 6.331
_cell_length_c 12.875
_cell_angle_alpha 90.00
_cell_angle_beta 90.00
_cell_angle_gamma 90.00
_symmetry_space_group_name_H-M 'I m m a'
_symmetry_Int_Tables_number 74
_symmetry_space_group_name_Hall '-I 2b 2'
loop_
_atom_site_label
_atom_site_fract_x
_atom_site_fract_y
_atom_site_fract_z
K1 0.000 0.250 0.102
Mn1 0.000 0.250 0.670
# energy above the lowest structure with this stoichiometry	188	meV/atom

---

Result set for volume: 237, 173, 117, 83, 489, 798, 179, 84, 435, 118, 735, 33, 261 Å³/cell, one per record in the order listed.